DFT (PBE) results for a relaxed Th3ZrPd12 crystal.

The energy relative to the elements is -0.87 eV per atom. As for the space group: P4/mmm, No. 123. The value obtained for the total energy is -6.691 eV/atom.

Cell lengths 4.194, 4.194, 16.562 Å; angles 90.00, 90.00, 90.00 degrees
Element x y z (fractional)
Th1 0.000 0.000 0.243
Th2 0.000 0.000 0.500
Th3 0.000 0.000 0.757
Zr1 0.000 0.000 0.000
Pd1 0.500 0.500 0.000
Pd2 0.500 0.500 0.245
Pd3 0.500 0.500 0.500
Pd4 0.500 0.500 0.755
Pd5 0.500 0.000 0.117
Pd6 0.500 0.000 0.372
Pd7 0.500 0.000 0.628
Pd8 0.500 0.000 0.883
Pd9 0.000 0.500 0.117
Pd10 0.000 0.500 0.372
Pd11 0.000 0.500 0.628
Pd12 0.000 0.500 0.883